Density functional theory data (PBE-GGA) for a relaxed Ac2OsAuO8 crystal.

Cell lengths 4.886, 4.874, 8.287 Å; angles 86.66, 86.14, 95.09 degrees
Last column: magnetic moment on the atom in μB.
Element x y z (fractional)
Ac1 0.555 0.559 0.245  0.01
Ac2 0.445 0.441 0.755  0.01
O1 0.249 0.887 0.838  0.01
O2 0.751 0.113 0.162  0.01
O3 0.296 0.294 0.482  0.27
O4 0.110 0.753 0.162  0.01
O5 0.704 0.706 0.518  0.27
O6 0.271 0.272 0.046  0.01
O7 0.729 0.728 0.954  0.01
O8 0.890 0.247 0.838  0.01
Au1 0.000 0.000 0.500  0.34
Os1 0.000 0.000 0.000  -0.01

## Properties
D(E_F)   4.096 states/eV per cell
SG   P-1 (2)
Electronic total energy   -83.8 eV per formula unit
Calculated volume   16.31 A^3/atom